CsKTl2Rh: relaxed, GGA-PBE.

- energy relative to the lowest polymorph listed for this composition (eV/atom) = 0.077
- total magnetic moment (μB per cell) = 0.00
- E_form (eV per atom) = 0.08

Cell lengths 5.4163, 5.4163, 6.3799 Å; angles 90.00, 90.00, 90.00 degrees
Fractional positions:
Cs  0.0000  0.0000  0.5000
Tl  0.0000  0.5000  0.0000
Tl  0.5000  0.0000  0.0000
Rh  0.0000  0.0000  0.0000
K  0.5000  0.5000  0.5000

=====

CsKTl2Rh: relaxed, GGA-PBE.

- energy relative to the lowest polymorph listed for this composition (eV/atom) = 0.000
- total magnetic moment (μB per cell) = 0.00
- E_form (eV per atom) = 0.00

Cell lengths 5.3996, 5.3996, 6.1977 Å; angles 90.00, 90.00, 90.00 degrees
Fractional positions:
Cs  0.5000  0.5000  0.5000
Tl  0.0000  0.5000  0.0000
Tl  0.5000  0.0000  0.0000
Rh  0.0000  0.0000  0.0000
K  0.0000  0.0000  0.5000